[1]
Density functional theory data (PBE-GGA) for an optimized crystal structure of GdAg4Pb.

Unit cell a=5.6947 b=5.6947 c=5.6947 alpha=60.00 beta=60.00 gamma=60.00
Fractional positions:
1 Gd 0.0000 0.0000 0.0000
2 Ag 0.1240 0.6253 0.6253
3 Ag 0.6253 0.1240 0.6253
4 Ag 0.6253 0.6253 0.1240
5 Ag 0.6253 0.6253 0.6253
6 Pb 0.2500 0.2500 0.2500

SG = No. 216
Formation energy = -0.17 eV/atom

=====

[2]
Density functional theory data (PBE-GGA) for an optimized crystal structure of Te2Pb.

Unit cell a=6.5409 b=6.5409 c=8.3087 alpha=98.42 beta=98.42 gamma=38.39
Fractional positions:
1 Te 0.1044 0.1044 0.3508
2 Te 0.2981 0.2981 0.9084
3 Te 0.7019 0.7019 0.0916
4 Te 0.8956 0.8956 0.6492
5 Pb 0.3612 0.3612 0.3619
6 Pb 0.6388 0.6388 0.6381

E = -3.502 eV/atom
SG = No. 12

=====

[3]
Density functional theory data (PBE-GGA) for an optimized crystal structure of Nb5Pd3S12.

Unit cell a=12.8969 b=12.8969 c=12.8969 alpha=109.47 beta=109.47 gamma=109.47
Fractional positions:
1 Nb 0.0000 0.0000 0.0000
2 Nb 0.0000 0.0000 0.5000
3 Nb 0.0000 0.5000 0.0000
4 Nb 0.0000 0.5000 0.5000
5 Nb 0.1250 0.7500 0.8750
6 Nb 0.1250 0.8750 0.2500
7 Nb 0.2500 0.1250 0.8750
8 Nb 0.2500 0.6250 0.3750
9 Nb 0.3750 0.2500 0.6250
10 Nb 0.3750 0.6250 0.7500
11 Nb 0.5000 0.0000 0.0000
12 Nb 0.5000 0.0000 0.5000
13 Nb 0.5000 0.5000 0.0000
14 Nb 0.5000 0.5000 0.5000
15 Nb 0.6250 0.3750 0.2500
16 Nb 0.6250 0.7500 0.3750
17 Nb 0.7500 0.3750 0.6250
18 Nb 0.7500 0.8750 0.1250
19 Nb 0.8750 0.1250 0.7500
20 Nb 0.8750 0.2500 0.1250
21 Pd 0.1250 0.2500 0.3750
22 Pd 0.1250 0.3750 0.7500
23 Pd 0.2500 0.3750 0.1250
24 Pd 0.2500 0.8750 0.6250
25 Pd 0.3750 0.1250 0.2500
26 Pd 0.3750 0.7500 0.1250
27 Pd 0.6250 0.2500 0.8750
28 Pd 0.6250 0.8750 0.7500
29 Pd 0.7500 0.1250 0.3750
30 Pd 0.7500 0.6250 0.8750
31 Pd 0.8750 0.6250 0.2500
32 Pd 0.8750 0.7500 0.6250
33 S 0.0399 0.2184 0.1148
34 S 0.0399 0.3214 0.9251
35 S 0.0749 0.6148 0.3964
36 S 0.0749 0.9601 0.6786
37 S 0.1036 0.7184 0.6786
38 S 0.1036 0.8852 0.4251
39 S 0.1148 0.0399 0.2184
40 S 0.1148 0.5749 0.8964
41 S 0.1786 0.2184 0.6036
42 S 0.1786 0.4601 0.5749
43 S 0.2184 0.1148 0.0399
44 S 0.2184 0.6036 0.1786
45 S 0.2816 0.3214 0.8964
46 S 0.2816 0.4601 0.3852
47 S 0.3214 0.8964 0.2816
48 S 0.3214 0.9251 0.0399
49 S 0.3852 0.2816 0.4601
50 S 0.3852 0.6036 0.9251
51 S 0.3964 0.0749 0.6148
52 S 0.3964 0.8214 0.7816
53 S 0.4251 0.1036 0.8852
54 S 0.4251 0.8214 0.5399
55 S 0.4601 0.3852 0.2816
56 S 0.4601 0.5749 0.1786
57 S 0.5399 0.4251 0.8214
58 S 0.5399 0.6148 0.7184
59 S 0.5749 0.1786 0.4601
60 S 0.5749 0.8964 0.1148
61 S 0.6036 0.1786 0.2184
62 S 0.6036 0.9251 0.3852
63 S 0.6148 0.3964 0.0749
64 S 0.6148 0.7184 0.5399
65 S 0.6786 0.0749 0.9601
66 S 0.6786 0.1036 0.7184
67 S 0.7184 0.5399 0.6148
68 S 0.7184 0.6786 0.1036
69 S 0.7816 0.3964 0.8214
70 S 0.7816 0.8852 0.9601
71 S 0.8214 0.5399 0.4251
72 S 0.8214 0.7816 0.3964
73 S 0.8852 0.4251 0.1036
74 S 0.8852 0.9601 0.7816
75 S 0.8964 0.1148 0.5749
76 S 0.8964 0.2816 0.3214
77 S 0.9251 0.0399 0.3214
78 S 0.9251 0.3852 0.6036
79 S 0.9601 0.6786 0.0749
80 S 0.9601 0.7816 0.8852

E = -6.136 eV/atom
SG = No. 230

=====

[4]
Density functional theory data (PBE-GGA) for an optimized crystal structure of Fe3PbW.

Unit cell a=4.5855 b=4.5855 c=4.5855 alpha=90.00 beta=90.00 gamma=90.00
Fractional positions:
1 Fe 0.0000 0.0000 0.5000
2 Fe 0.0000 0.5000 0.0000
3 Fe 0.5000 0.0000 0.0000
4 Pb 0.0000 0.0000 0.0000
5 W 0.5000 0.5000 0.5000

Energy above the most stable polymorph in this dataset = 1331.7 meV/atom
SG = No. 221
Formation energy = 2.71 eV/atom

=====

Number 1: Fermi-level density of states 0.92 states/eV per atom. Number 2: Fermi-level density of states 0.04 states/eV per atom. Number 3: Fermi-level density of states 0.87 states/eV per atom. Number 4: Fermi-level density of states 3.25 states/eV per atom.